Record 1
Ba2Ac2Te5 after structural relaxation. Source: Alexandria via LeMat-Bulk, functional PBE.

Unit cell a=17.097 b=9.072 c=9.103 alpha=90.00 beta=90.00 gamma=90.00
Space group Cmce (No. 64)
Inequivalent atoms, fractional coordinates:
Ba1 0.199 0.000 0.000 x8
Ac1 0.000 0.157 0.343 x8
Te1 0.000 0.000 0.000 x4
Te2 0.130 0.152 0.650 x16

Values from the calculation:
For the uncorrected formation energy, the calculation gives -1.689 eV per atom. The total DFT energy (no corrections) comes out at -4.77 eV per atom.

=====

Record 2
HfTi2CdB after structural relaxation. Source: Alexandria via LeMat-Bulk, functional PBE.

Unit cell a=4.365 b=4.365 c=4.559 alpha=90.00 beta=90.00 gamma=90.00
Space group P4/mmm (No. 123)
Inequivalent atoms, fractional coordinates:
Hf1 0.000 0.000 0.000 x1
Ti1 0.000 0.500 0.500 x2
Cd1 0.500 0.500 0.000 x1
B1 0.000 0.000 0.500 x1

Values from the calculation:
Its density of states at the Fermi level is 2.6 states/eV per cell. The total DFT energy (no corrections) comes out at -6.90 eV per atom. The energy of formation comes out at -1.15 eV per formula unit.

=====

Copy entry 2 word for word.
HfTi2CdB after structural relaxation. Source: Alexandria via LeMat-Bulk, functional PBE.

Unit cell a=4.365 b=4.365 c=4.559 alpha=90.00 beta=90.00 gamma=90.00
Space group P4/mmm (No. 123)
Inequivalent atoms, fractional coordinates:
Hf1 0.000 0.000 0.000 x1
Ti1 0.000 0.500 0.500 x2
Cd1 0.500 0.500 0.000 x1
B1 0.000 0.000 0.500 x1

Values from the calculation:
Its density of states at the Fermi level is 2.6 states/eV per cell. The total DFT energy (no corrections) comes out at -6.90 eV per atom. The energy of formation comes out at -1.15 eV per formula unit.

=====

Look up the total DFT energy (no corrections) of the first one.
-4.77 eV per atom

=====

The lowest total DFT energy (no corrections) belongs to which entry?
HfTi2CdB